No. 1
Compound: Ac5InTe8
Source: Alexandria via LeMat-Bulk
Functional: PBE
Structure: relaxed

Lattice parameters (Å, degrees): 8.6749 8.6749 8.6749 109.37 109.37 109.67
With the nearest neighbours (Å) after each atom.
Fractional coordinates of all 14 atoms:
Ac (0.0000, 0.0000, 0.0000)  8 Te 3.38-3.50
Ac (0.2492, 0.1312, 0.6225)  8 Te 3.35-3.60
Ac (0.3733, 0.7508, 0.8820)  8 Te 3.35-3.60
Ac (0.5087, 0.6267, 0.3775)  8 Te 3.35-3.60
Ac (0.8688, 0.4913, 0.1180)  8 Te 3.35-3.60
In (0.7500, 0.2500, 0.5000)  8 Te 3.44-3.62
Te (0.1271, 0.3741, 0.9079)  5 Ac 3.38-3.55, 1 In 3.44, 2 Te 3.74-3.77
Te (0.1329, 0.3802, 0.4001)  5 Ac 3.35-3.60, 1 In 3.62
Te (0.2672, 0.8671, 0.2472)  5 Ac 3.35-3.60, 1 In 3.62
Te (0.4662, 0.2192, 0.0921)  5 Ac 3.38-3.55, 1 In 3.44, 2 Te 3.74-3.77
Te (0.6198, 0.0199, 0.7528)  5 Ac 3.35-3.60, 1 In 3.62
Te (0.6259, 0.5338, 0.7530)  5 Ac 3.38-3.55, 1 In 3.44, 2 Te 3.74-3.77
Te (0.7808, 0.8729, 0.2470)  5 Ac 3.38-3.55, 1 In 3.44, 2 Te 3.74-3.77
Te (0.9801, 0.7328, 0.5999)  5 Ac 3.35-3.60, 1 In 3.62

Output
**Crystal system**: tetragonal
**Final energy**: -4.93 eV per atom
**SG**: No. 82
**Size of the total moment**: 0.000 Bohr magnetons per cell
**Raw formation energy**: -1.4721 eV/atom

---

No. 2
Compound: Ac2In2Te5
Source: Alexandria via LeMat-Bulk
Functional: PBE
Structure: relaxed

Lattice parameters (Å, degrees): 11.8736 11.8736 11.8736 59.21 138.56 139.67
With the nearest neighbours (Å) after each atom.
Fractional coordinates of all 18 atoms:
Ac (0.0461, 0.1004, 0.1465)  5 Te 3.23-3.61
Ac (0.0461, 0.3996, 0.4457)  5 Te 3.23-3.61
Ac (0.9539, 0.6004, 0.5543)  5 Te 3.23-3.61
Ac (0.9539, 0.8996, 0.8535)  5 Te 3.23-3.61
In (0.3787, 0.7029, 0.1758)  4 Te 2.95-3.04
In (0.5271, 0.2029, 0.8242)  4 Te 2.95-3.04
In (0.5424, 0.0424, 0.5000)  6 Te 2.98-3.24
In (0.5424, 0.5424, 0.0000)  6 Te 2.98-3.24
Te (0.0426, 0.2995, 0.7913)  2 In 2.98-2.99
Te (0.0426, 0.7513, 0.2431)  2 In 2.98-2.99
Te (0.1745, 0.8319, 0.8426)  2 In 2.99-3.04
Te (0.5082, 0.2513, 0.2087)  2 In 2.98-2.99
Te (0.5082, 0.7995, 0.7569)  2 In 2.98-2.99
Te (0.5144, 0.2692, 0.5401)  2 In 2.95-3.24, 2 Ac 3.23-3.29
Te (0.5144, 0.4742, 0.7452)  2 In 2.95-3.24, 2 Ac 3.23-3.29
Te (0.7291, 0.7692, 0.2548)  2 In 2.95-3.24, 2 Ac 3.23-3.29
Te (0.7291, 0.9742, 0.4599)  2 In 2.95-3.24, 2 Ac 3.23-3.29
Te (0.9893, 0.3319, 0.1574)  2 In 2.99-3.04

Output
**Crystal system**: orthorhombic
**Final energy**: -4.11 eV per atom
**SG**: No. 46
**Size of the total moment**: 0.000 Bohr magnetons per cell
**Raw formation energy**: -0.8446 eV/atom

---

No. 3
Compound: AcIn6Te8
Source: Alexandria via LeMat-Bulk
Functional: PBE
Structure: relaxed

Lattice parameters (Å, degrees): 8.1530 8.1530 8.1530 92.55 92.55 92.55
With the nearest neighbours (Å) after each atom.
Fractional coordinates of all 15 atoms:
Ac (0.0000, 0.0000, 0.0000)  8 Te 3.41-3.64
In (0.1103, 0.5810, 0.3828)  4 Te 2.96-3.10, 1 In 2.99
In (0.3828, 0.1103, 0.5810)  4 Te 2.96-3.10, 1 In 2.99
In (0.4190, 0.6172, 0.8897)  4 Te 2.96-3.10, 1 In 2.99
In (0.5810, 0.3828, 0.1103)  4 Te 2.96-3.10, 1 In 2.99
In (0.6172, 0.8897, 0.4190)  4 Te 2.96-3.10, 1 In 2.99
In (0.8897, 0.4190, 0.6172)  4 Te 2.96-3.10, 1 In 2.99
Te (0.1862, 0.3121, 0.8021)  3 In 2.96-3.10
Te (0.1979, 0.8138, 0.6879)  3 In 2.96-3.10
Te (0.2701, 0.2701, 0.2701)  3 In 3.03
Te (0.3121, 0.8021, 0.1862)  3 In 2.96-3.10
Te (0.6879, 0.1979, 0.8138)  3 In 2.96-3.10
Te (0.7299, 0.7299, 0.7299)  3 In 3.03
Te (0.8021, 0.1862, 0.3121)  3 In 2.96-3.10
Te (0.8138, 0.6879, 0.1979)  3 In 2.96-3.10

Output
**Crystal system**: trigonal
**Final energy**: -3.46 eV per atom
**SG**: No. 148
**Size of the total moment**: 0.000 Bohr magnetons per cell
**Raw formation energy**: -0.4103 eV/atom

---

No. 4
Compound: Ac3InTe4
Source: Alexandria via LeMat-Bulk
Functional: PBE
Structure: relaxed

Lattice parameters (Å, degrees): 6.6571 11.2211 9.9632 90.00 90.00 90.00
With the nearest neighbours (Å) after each atom.
Fractional coordinates of all 16 atoms:
Ac (0.2500, 0.0026, 0.1621)  5 Te 3.26-3.34
Ac (0.2500, 0.2500, 0.6825)  5 Te 3.28-3.33
Ac (0.2500, 0.4974, 0.1621)  5 Te 3.26-3.34
Ac (0.7500, 0.5026, 0.8379)  5 Te 3.26-3.34
Ac (0.7500, 0.7500, 0.3175)  5 Te 3.28-3.33
Ac (0.7500, 0.9974, 0.8379)  5 Te 3.26-3.34
In (0.2500, 0.7500, 0.6541)  5 Te 3.24-3.33
In (0.7500, 0.2500, 0.3459)  5 Te 3.24-3.33
Te (0.2500, 0.2500, 0.3483)  2 In 3.33, 3 Ac 3.33-3.34
Te (0.2500, 0.5092, 0.8338)  1 In 3.24, 4 Ac 3.27-3.33
Te (0.2500, 0.7500, 0.3234)  4 Ac 3.26-3.33, 1 In 3.30
Te (0.2500, 0.9908, 0.8338)  1 In 3.24, 4 Ac 3.27-3.33
Te (0.7500, 0.0092, 0.1662)  1 In 3.24, 4 Ac 3.27-3.33
Te (0.7500, 0.2500, 0.6766)  4 Ac 3.26-3.33, 1 In 3.30
Te (0.7500, 0.4908, 0.1662)  1 In 3.24, 4 Ac 3.27-3.33
Te (0.7500, 0.7500, 0.6517)  2 In 3.33, 3 Ac 3.33-3.34

Output
**Crystal system**: orthorhombic
**Final energy**: -4.51 eV per atom
**SG**: No. 59
**Size of the total moment**: 0.003 Bohr magnetons per cell
**Raw formation energy**: -1.0581 eV/atom

---

No. 5
Compound: Ac4In3Te8
Source: Alexandria via LeMat-Bulk
Functional: PBE
Structure: relaxed

Lattice parameters (Å, degrees): 9.4598 9.4598 9.5103 119.91 119.91 89.78
With the nearest neighbours (Å) after each atom.
Fractional coordinates of all 15 atoms:
Ac (0.0000, 0.0000, 0.0000)  6 Te 3.33-3.36
Ac (0.0000, 0.5000, 0.0000)  6 Te 3.34-3.38
Ac (0.5000, 0.0000, 0.0000)  6 Te 3.34-3.38
Ac (0.5000, 0.5000, 0.5000)  6 Te 3.30-3.35
In (0.0000, 0.0000, 0.5000)  6 Te 3.36-3.40
In (0.0000, 0.5000, 0.5000)  6 Te 3.34-3.38
In (0.5000, 0.0000, 0.5000)  6 Te 3.34-3.38
Te (0.2497, 0.2497, 0.4923)  2 Ac 3.30-3.33, 3 In 3.34-3.40
Te (0.2504, 0.7496, 0.0000)  3 Ac 3.34-3.35, 2 In 3.38
Te (0.2515, 0.7485, 0.5000)  3 Ac 3.32-3.38, 3 In 3.35-3.36
Te (0.2526, 0.2526, 0.0041)  4 Ac 3.34-3.36, 1 In 3.40
Te (0.7474, 0.7474, 0.9959)  4 Ac 3.34-3.36, 1 In 3.40
Te (0.7485, 0.2515, 0.5000)  3 Ac 3.32-3.38, 3 In 3.35-3.36
Te (0.7496, 0.2504, 0.0000)  3 Ac 3.34-3.35, 2 In 3.38
Te (0.7503, 0.7503, 0.5077)  2 Ac 3.30-3.33, 3 In 3.34-3.40

Output
**Crystal system**: monoclinic
**Final energy**: -4.39 eV per atom
**SG**: No. 12
**Size of the total moment**: 0.000 Bohr magnetons per cell
**Raw formation energy**: -1.0662 eV/atom

---

No. 6
Compound: Ac3In5Te12
Source: Alexandria via LeMat-Bulk
Functional: PBE
Structure: relaxed

Lattice parameters (Å, degrees): 15.8283 15.8283 15.8283 109.47 109.47 109.47
With the nearest neighbours (Å) after each atom.
Fractional coordinates of all 80 atoms:
Ac (0.1250, 0.2500, 0.3750)  8 Te 3.48-3.50
Ac (0.1250, 0.3750, 0.7500)  8 Te 3.48-3.50
Ac (0.2500, 0.3750, 0.1250)  8 Te 3.48-3.50
Ac (0.2500, 0.8750, 0.6250)  8 Te 3.48-3.50
Ac (0.3750, 0.1250, 0.2500)  8 Te 3.48-3.50
Ac (0.3750, 0.7500, 0.1250)  8 Te 3.48-3.50
Ac (0.6250, 0.2500, 0.8750)  8 Te 3.48-3.50
Ac (0.6250, 0.8750, 0.7500)  8 Te 3.48-3.50
Ac (0.7500, 0.1250, 0.3750)  8 Te 3.48-3.50
Ac (0.7500, 0.6250, 0.8750)  8 Te 3.48-3.50
Ac (0.8750, 0.6250, 0.2500)  8 Te 3.48-3.50
Ac (0.8750, 0.7500, 0.6250)  8 Te 3.48-3.50
In (0.0000, 0.0000, 0.0000)  6 Te 2.99
In (0.0000, 0.0000, 0.5000)  6 Te 2.99
In (0.0000, 0.5000, 0.0000)  6 Te 2.99
In (0.0000, 0.5000, 0.5000)  6 Te 2.99
In (0.1250, 0.7500, 0.8750)  4 Te 2.83
In (0.1250, 0.8750, 0.2500)  4 Te 2.83
In (0.2500, 0.1250, 0.8750)  4 Te 2.83
In (0.2500, 0.6250, 0.3750)  4 Te 2.83
In (0.3750, 0.2500, 0.6250)  4 Te 2.83
In (0.3750, 0.6250, 0.7500)  4 Te 2.83
In (0.5000, 0.0000, 0.0000)  6 Te 2.99
In (0.5000, 0.0000, 0.5000)  6 Te 2.99
In (0.5000, 0.5000, 0.0000)  6 Te 2.99
In (0.5000, 0.5000, 0.5000)  6 Te 2.99
In (0.6250, 0.3750, 0.2500)  4 Te 2.83
In (0.6250, 0.7500, 0.3750)  4 Te 2.83
In (0.7500, 0.3750, 0.6250)  4 Te 2.83
In (0.7500, 0.8750, 0.1250)  4 Te 2.83
In (0.8750, 0.1250, 0.7500)  4 Te 2.83
In (0.8750, 0.2500, 0.1250)  4 Te 2.83
Te (0.0375, 0.2116, 0.1254)  2 In 2.83-2.99
Te (0.0375, 0.3259, 0.9121)  2 In 2.83-2.99
Te (0.0862, 0.7116, 0.6741)  2 In 2.83-2.99
Te (0.0862, 0.8746, 0.4121)  2 In 2.83-2.99
Te (0.0879, 0.6254, 0.4138)  2 In 2.83-2.99
Te (0.0879, 0.9625, 0.6741)  2 In 2.83-2.99
Te (0.1254, 0.0375, 0.2116)  2 In 2.83-2.99
Te (0.1254, 0.5879, 0.9138)  2 In 2.83-2.99
Te (0.1741, 0.2116, 0.5862)  2 In 2.83-2.99
Te (0.1741, 0.4625, 0.5879)  2 In 2.83-2.99
Te (0.2116, 0.1254, 0.0375)  2 In 2.83-2.99
Te (0.2116, 0.5862, 0.1741)  2 In 2.83-2.99
Te (0.2884, 0.3259, 0.9138)  2 In 2.83-2.99
Te (0.2884, 0.4625, 0.3746)  2 In 2.83-2.99
Te (0.3259, 0.9121, 0.0375)  2 In 2.83-2.99
Te (0.3259, 0.9138, 0.2884)  2 In 2.83-2.99
Te (0.3746, 0.2884, 0.4625)  2 In 2.83-2.99
Te (0.3746, 0.5862, 0.9121)  2 In 2.83-2.99
Te (0.4121, 0.0862, 0.8746)  2 In 2.83-2.99
Te (0.4121, 0.8259, 0.5375)  2 In 2.83-2.99
Te (0.4138, 0.0879, 0.6254)  2 In 2.83-2.99
Te (0.4138, 0.8259, 0.7884)  2 In 2.83-2.99
Te (0.4625, 0.3746, 0.2884)  2 In 2.83-2.99
Te (0.4625, 0.5879, 0.1741)  2 In 2.83-2.99
Te (0.5375, 0.4121, 0.8259)  2 In 2.83-2.99
Te (0.5375, 0.6254, 0.7116)  2 In 2.83-2.99
Te (0.5862, 0.1741, 0.2116)  2 In 2.83-2.99
Te (0.5862, 0.9121, 0.3746)  2 In 2.83-2.99
Te (0.5879, 0.1741, 0.4625)  2 In 2.83-2.99
Te (0.5879, 0.9138, 0.1254)  2 In 2.83-2.99
Te (0.6254, 0.4138, 0.0879)  2 In 2.83-2.99
Te (0.6254, 0.7116, 0.5375)  2 In 2.83-2.99
Te (0.6741, 0.0862, 0.7116)  2 In 2.83-2.99
Te (0.6741, 0.0879, 0.9625)  2 In 2.83-2.99
Te (0.7116, 0.5375, 0.6254)  2 In 2.83-2.99
Te (0.7116, 0.6741, 0.0862)  2 In 2.83-2.99
Te (0.7884, 0.4138, 0.8259)  2 In 2.83-2.99
Te (0.7884, 0.8746, 0.9625)  2 In 2.83-2.99
Te (0.8259, 0.5375, 0.4121)  2 In 2.83-2.99
Te (0.8259, 0.7884, 0.4138)  2 In 2.83-2.99
Te (0.8746, 0.4121, 0.0862)  2 In 2.83-2.99
Te (0.8746, 0.9625, 0.7884)  2 In 2.83-2.99
Te (0.9121, 0.0375, 0.3259)  2 In 2.83-2.99
Te (0.9121, 0.3746, 0.5862)  2 In 2.83-2.99
Te (0.9138, 0.1254, 0.5879)  2 In 2.83-2.99
Te (0.9138, 0.2884, 0.3259)  2 In 2.83-2.99
Te (0.9625, 0.6741, 0.0879)  2 In 2.83-2.99
Te (0.9625, 0.7884, 0.8746)  2 In 2.83-2.99

Output
**Crystal system**: cubic
**Final energy**: -3.94 eV per atom
**SG**: No. 230
**Size of the total moment**: 0.000 Bohr magnetons per cell
**Raw formation energy**: -0.7587 eV/atom